No. 1
Material: CeSmTeBr
Method: DFT, GGA-PBE
State: optimized geometry

## Properties
- N(E_F): 8.84 states/eV per cell
- Crystal system: cubic
- ρ: 7660 kg/m3
- Energy: -19.968 eV per cell
- Formation energy (no corrections): -1.13 eV per atom

```
data_CeSmTeBr
_chemical_formula_sum 'Ce1 Sm1 Te1 Br1'
_cell_length_a 5.345
_cell_length_b 5.345
_cell_length_c 5.345
_cell_angle_alpha 60.00
_cell_angle_beta 60.00
_cell_angle_gamma 60.00
_space_group_name_H-M_alt 'P 1'
_space_group_IT_number 1
_space_group_name_Hall 'P 1'
loop_
_atom_site_label
_atom_site_fract_x
_atom_site_fract_y
_atom_site_fract_z
Ce1 0.000 0.000 0.000
Sm1 0.500 0.500 0.500
Te1 0.250 0.250 0.250
Br1 0.750 0.750 0.750
```


No. 2
Material: Ce2SnBr
Method: DFT, GGA-PBE
State: optimized geometry

## Properties
- N(E_F): 12.77 states/eV per cell
- Crystal system: tetragonal
- ρ: 7242 kg/m3
- Energy: -20.701 eV per cell
- Formation energy (no corrections): -0.79 eV per atom
- ΔE to the lowest computed polymorph: 79 meV/atom

```
data_Ce2SnBr
_chemical_formula_sum 'Ce2 Sn1 Br1'
_cell_length_a 3.675
_cell_length_b 3.675
_cell_length_c 8.128
_cell_angle_alpha 90.00
_cell_angle_beta 90.00
_cell_angle_gamma 90.00
_space_group_name_H-M_alt 'P 1'
_space_group_IT_number 1
_space_group_name_Hall 'P 1'
loop_
_atom_site_label
_atom_site_fract_x
_atom_site_fract_y
_atom_site_fract_z
Ce1 0.000 0.000 0.247
Ce2 0.000 0.000 0.753
Sn1 0.500 0.500 0.000
Br1 0.500 0.500 0.500
```